1.
A plane-wave DFT calculation with GGA-PBE was carried out for a relaxed PrYH2 crystal.

Geometry as extended XYZ:
```
4
Lattice="-0.730 -3.471 -0.441 1.115 -2.382 2.420 -5.068 -1.250 3.744" Properties=species:S:1:pos:R:3 pbc="T T T"
Pr -2.489 -3.532 2.949
Y -4.776 -5.157 5.042
H -0.848 -1.819 1.239
H -3.980 -1.397 3.098
```

Energy relative to the lowest polymorph listed for this composition   86 meV/atom
Symmetry   R3m
DFT total energy   -4.779 eV per atom
Crystal system   trigonal



2.
A plane-wave DFT calculation with GGA-PBE was carried out for a relaxed PrYH2 crystal.

Geometry as extended XYZ:
```
4
Lattice="3.584 0.000 0.000 1.792 3.104 0.000 1.792 1.035 5.831" Properties=species:S:1:pos:R:3 pbc="T T T"
Pr 0.000 0.000 0.000
Y 3.584 2.069 2.915
H 1.792 1.035 1.602
H 5.376 3.104 4.229
```

Energy relative to the lowest polymorph listed for this composition   0 meV/atom
Symmetry   R-3m
DFT total energy   -4.865 eV per atom
Crystal system   trigonal



3.
A plane-wave DFT calculation with GGA-PBE was carried out for a relaxed Pr6Zn2H crystal.

Geometry as extended XYZ:
```
18
Lattice="6.562 0.000 -0.130 0.000 7.040 0.000 -1.079 0.000 10.983" Properties=species:S:1:pos:R:3 pbc="T T T"
Pr 4.335 4.871 10.466
Pr 5.404 6.953 2.497
Pr 4.961 4.885 5.972
Pr 1.583 3.607 8.054
Pr 1.149 2.170 0.387
Pr 3.891 1.351 5.814
Pr 0.523 2.155 4.881
Pr 0.080 0.087 8.356
Pr 3.901 3.433 2.800
Pr 1.593 5.690 5.039
Pr 2.219 5.675 0.545
Pr 3.265 1.365 10.308
Zn 0.387 4.210 2.557
Zn 3.129 6.350 7.984
Zn 2.355 0.690 2.869
Zn 5.097 2.830 8.296
H -0.539 0.000 5.492
H 3.281 3.520 -0.065
```

Symmetry   P2_1/c
DFT total energy   -3.986 eV per atom
Crystal system   monoclinic



4.
A plane-wave DFT calculation with GGA-PBE was carried out for a relaxed PrZn2H8 crystal.

Geometry as extended XYZ:
```
11
Lattice="-2.844 -0.340 -3.281 -0.758 -2.501 3.808 -1.852 5.950 0.988" Properties=species:S:1:pos:R:3 pbc="T T T"
H -1.295 1.655 0.951
H -1.982 0.699 -1.246
H -3.163 3.831 0.722
H -2.291 -0.721 0.792
H -1.043 -0.572 2.232
H -3.473 2.410 2.760
H -4.411 3.681 -0.718
H -4.159 1.454 0.563
Pr 0.000 0.000 0.000
Zn -3.206 0.367 -0.150
Zn -2.248 2.742 1.664
```

Symmetry   C2/m
DFT total energy   -3.074 eV per atom
Crystal system   monoclinic



5.
A plane-wave DFT calculation with GGA-PBE was carried out for a relaxed Pr3Zn5H12 crystal.

Geometry as extended XYZ:
```
80
Lattice="-8.925 -5.551 -3.179 6.955 -6.834 5.050 -2.939 8.003 6.920" Properties=species:S:1:pos:R:3 pbc="T T T"
H -2.316 -2.780 6.837
H -1.508 -8.446 3.720
H -0.831 -4.227 7.912
H 4.799 -5.541 5.142
H -3.432 -3.549 0.571
H 1.536 -3.543 5.578
H -5.024 -7.771 1.518
H -6.246 -1.782 -0.119
H -0.633 -6.108 5.094
H -0.432 0.091 6.347
H -1.786 2.216 6.593
H -4.124 -0.607 7.190
H 1.337 -2.599 8.910
H 1.953 1.439 8.350
H -0.785 -3.775 1.601
H -0.203 -0.077 2.506
H -3.123 -6.598 2.197
H -7.325 1.056 5.208
H -4.706 -4.305 6.285
H 4.171 -3.845 6.619
H -9.708 1.159 3.649
H -4.276 1.726 3.697
H -4.965 -2.297 4.280
H -4.078 -0.155 0.879
H -9.080 -0.537 2.172
H 2.416 -5.437 3.583
H -2.803 0.271 4.776
H -0.878 -10.151 2.255
H -2.593 -1.601 1.954
H -5.825 -4.884 -1.431
H -6.024 -1.790 6.522
H -7.296 -2.717 1.745
H 2.387 -1.664 7.046
H -2.106 -4.653 4.014
H -6.862 -5.820 0.441
H 1.115 -2.592 2.268
H -4.089 -6.009 4.812
H 0.917 0.502 10.221
H 0.523 -6.623 2.902
H -3.401 4.064 5.070
H -4.031 5.770 6.536
H -4.477 -4.473 2.444
H -0.820 1.627 3.978
H -6.445 -0.839 3.213
H 0.115 3.389 7.273
H -5.432 2.241 5.889
H -1.477 -0.832 8.220
H 0.056 -2.085 4.511
Zn 0.758 -1.256 3.226
Zn -4.682 3.067 4.629
Zn -5.932 1.226 1.871
Zn -2.454 -2.191 4.395
Zn -5.667 -3.126 5.564
Zn -8.396 1.985 4.302
Zn 0.000 0.000 0.000
Zn 2.008 0.585 5.985
Zn -3.449 -5.433 3.367
Zn 2.999 -2.818 5.985
Zn -1.975 -2.790 0.935
Zn 3.478 -3.417 2.525
Zn -7.907 -1.564 2.806
Zn -0.227 -7.448 4.162
Zn -0.985 -6.192 0.936
Zn -2.933 -1.592 7.855
Zn -1.470 4.002 3.460
Zn -4.462 -2.776 -1.589
Zn 3.487 -6.367 4.489
Zn -1.460 1.052 5.424
Pr -0.456 1.344 8.416
Pr -1.949 4.600 6.920
Pr 0.265 -4.352 3.694
Pr -2.464 0.759 2.431
Pr -4.453 -5.725 0.375
Pr -4.941 -2.177 1.871
Pr -2.960 -8.982 1.871
Pr -5.174 -0.030 5.097
Pr -2.445 -5.141 6.359
Pr 0.033 -2.205 6.920
Pr 2.766 -0.671 9.211
Pr -7.675 -3.711 -0.420
```

Symmetry   Ia-3d
DFT total energy   -3.152 eV per atom
Crystal system   cubic



6.
A plane-wave DFT calculation with GGA-PBE was carried out for a relaxed PrZnH3 crystal.

Geometry as extended XYZ:
```
10
Lattice="0.655 -3.126 -2.174 6.496 1.121 0.345 -3.319 -1.745 5.018" Properties=species:S:1:pos:R:3 pbc="T T T"
H 5.339 0.104 0.270
H 2.494 -2.826 0.203
H 2.669 -0.357 0.128
H 2.309 -2.226 2.748
H -0.175 -3.287 0.061
H -0.464 -2.706 2.600
Pr 4.337 -1.743 -0.809
Pr 0.827 -1.440 1.140
Zn 2.611 -0.551 3.870
Zn -1.423 -1.245 3.659
```

Symmetry   Cm
DFT total energy   -3.548 eV per atom
Crystal system   monoclinic



7.
A plane-wave DFT calculation with GGA-PBE was carried out for a relaxed PrZr3H crystal.

Geometry as extended XYZ:
```
5
Lattice="-1.382 -3.601 2.646 0.930 -2.940 -3.517 4.371 -0.513 1.584" Properties=species:S:1:pos:R:3 pbc="T T T"
H 0.000 0.000 0.000
Zr 2.185 -0.256 0.792
Zr 0.465 -1.470 -1.758
Zr -0.691 -1.801 1.323
Pr 1.960 -3.527 0.357
```

Symmetry   Pm-3m
DFT total energy   -6.725 eV per atom
Crystal system   cubic



8.
A plane-wave DFT calculation with GGA-PBE was carried out for a relaxed PrZr2H crystal.

Geometry as extended XYZ:
```
4
Lattice="-0.991 0.750 -2.991 -1.965 -2.012 -1.608 -8.106 3.802 1.885" Properties=species:S:1:pos:R:3 pbc="T T T"
Pr 0.000 0.000 0.000
Zr -5.595 2.313 0.680
Zr -5.467 0.227 -3.394
H -5.531 1.270 -1.357
```

Symmetry   R-3m
DFT total energy   -6.218 eV per atom
Crystal system   trigonal



9.
A plane-wave DFT calculation with GGA-PBE was carried out for a relaxed Pr2ZrH crystal.

Geometry as extended XYZ:
```
4
Lattice="3.363 0.000 0.000 1.682 2.913 0.000 1.682 0.971 9.578" Properties=species:S:1:pos:R:3 pbc="T T T"
Zr 0.000 0.000 0.000
Pr 5.045 2.913 3.198
Pr 1.682 0.971 6.380
H 3.363 1.942 4.789
```

Symmetry   R-3m
DFT total energy   -5.199 eV per atom
Crystal system   trigonal



10.
A plane-wave DFT calculation with GGA-PBE was carried out for a relaxed PrZrH2 crystal.

Geometry as extended XYZ:
```
4
Lattice="3.370 0.000 0.000 1.685 2.919 0.000 1.685 0.973 5.931" Properties=species:S:1:pos:R:3 pbc="T T T"
Zr 0.000 0.000 0.000
H 1.685 0.973 1.023
H 5.055 2.919 4.908
Pr 3.370 1.946 2.966
```

Symmetry   R-3m
DFT total energy   -5.280 eV per atom
Crystal system   trigonal



11.
A plane-wave DFT calculation with GGA-PBE was carried out for a relaxed HPt crystal.

Geometry as extended XYZ:
```
12
Lattice="-4.262 4.245 -3.854 -2.568 -6.052 2.794 -0.742 1.412 2.376" Properties=species:S:1:pos:R:3 pbc="T T T"
Pt -4.612 -0.207 -0.456
Pt -4.756 2.244 -1.957
Pt -5.292 -1.854 2.034
Pt -2.960 -0.189 1.773
Pt -2.280 1.459 -0.717
Pt -2.816 -2.640 3.274
H -4.431 3.832 -1.076
H -2.234 1.293 1.119
H -6.096 0.490 0.390
H -3.141 -4.227 2.393
H -1.476 -0.885 0.927
H -5.337 -1.688 0.198
```

Symmetry   P6_3/m
DFT total energy   -4.633 eV per atom
Crystal system   hexagonal



12.
A plane-wave DFT calculation with GGA-PBE was carried out for a relaxed H2Pt13 crystal.

Geometry as extended XYZ:
```
15
Lattice="-3.341 -1.094 -3.282 -4.819 -2.196 5.362 1.492 7.003 -1.882" Properties=species:S:1:pos:R:3 pbc="T T T"
Pt -1.243 5.380 -0.428
Pt -4.731 -0.588 3.035
Pt -1.937 4.302 -2.837
Pt -2.050 2.723 -0.594
Pt -2.665 -0.030 -0.820
Pt -4.618 0.992 0.793
Pt 0.000 0.000 0.000
Pt -4.660 2.664 -1.456
Pt -4.003 3.744 1.018
Pt -2.577 1.638 -3.057
Pt -4.091 2.076 3.256
Pt -2.008 1.050 1.654
Pt -5.425 -1.666 0.626
H -0.563 1.715 -0.579
H -6.105 1.999 0.778
```

Symmetry   P-1
DFT total energy   -5.637 eV per atom
Crystal system   triclinic



no.,N(E_F) (states/eV/f.u.)
1,2.3
2,2.4
3,8.7
4,1.2
5,3.2
6,1.4
7,7.6
8,5.1
9,4.6
10,4.4
11,0.9
12,16.8